Record 1
This record from Alexandria via LeMat-Bulk describes a relaxed structure of CaCu2Si. The functional is PBE.

Unit cell a=4.6737 b=4.6737 c=8.5253 alpha=74.09 beta=74.09 gamma=90.00
Closest atoms and distances in Å follow each position.
Fractional positions:
Cu: 0.3744 0.6250 0.2500  2 Si 2.29, 2 Cu 2.34
Cu: 0.8750 0.6256 0.7500  2 Si 2.29, 2 Cu 2.34
Cu: 0.3756 0.1250 0.2500  2 Si 2.29, 2 Cu 2.34
Cu: 0.3750 0.6244 0.7500  2 Si 2.29, 2 Cu 2.34
Ca: 0.0000 0.0000 0.0000  8 Cu 3.27, 4 Si 3.30
Ca: 0.7500 0.2500 0.5000  8 Cu 3.27, 4 Si 3.30
Si: 0.5000 0.5000 0.0000  4 Cu 2.29
Si: 0.2500 0.7500 0.5000  4 Cu 2.29

Computed properties:
* ΔE_f (raw): -0.12 eV/atom
* E_tot: -4.026 eV/atom
* symmetry: I4_1/amd, No. 141


Record 2
This record from Alexandria via LeMat-Bulk describes a relaxed structure of CaCuSi. The functional is PBE.

Unit cell a=4.6734 b=4.6734 c=4.6734 alpha=60.00 beta=60.00 gamma=60.00
Closest atoms and distances in Å follow each position.
Fractional positions:
Cu: 0.0000 0.0000 0.0000  4 Ca 2.86
Si: 0.5000 0.5000 0.5000  4 Ca 2.86
Ca: 0.7500 0.7500 0.7500  4 Cu 2.86, 4 Si 2.86

Computed properties:
* ΔE_f (raw): 0.60 eV/atom
* E_tot: -3.241 eV/atom
* symmetry: F-43m, No. 216


Record 3
This record from Alexandria via LeMat-Bulk describes a relaxed structure of CaCu2Si. The functional is PBE.

Unit cell a=3.2529 b=3.2567 c=6.4655 alpha=90.00 beta=90.00 gamma=90.00
Closest atoms and distances in Å follow each position.
Fractional positions:
Cu: 0.0000 0.0000 0.0588  1 Cu 2.47, 4 Si 2.61
Cu: 0.0000 0.0000 0.4412  1 Cu 2.47, 4 Si 2.61
Si: 0.5000 0.5000 0.2500  8 Cu 2.61
Ca: 0.5000 0.5000 0.7500  8 Cu 3.05, 2 Si 3.23, 4 Ca 3.25-3.26

Computed properties:
* ΔE_f (raw): 0.06 eV/atom
* E_tot: -3.844 eV/atom
* symmetry: P4/mmm, No. 123


Record 4
This record from Alexandria via LeMat-Bulk describes a relaxed structure of CaCu9Si2. The functional is PBE.

Unit cell a=6.4249 b=7.8468 c=7.8468 alpha=80.35 beta=65.83 gamma=65.83
Closest atoms and distances in Å follow each position.
Fractional positions:
Cu: 0.0645 0.9175 0.3278  2 Si 2.40-2.48, 6 Cu 2.48-2.68
Cu: 0.0180 0.6722 0.9175  2 Si 2.40-2.48, 6 Cu 2.48-2.68
Cu: 0.6855 0.1722 0.5825  2 Si 2.40-2.48, 6 Cu 2.48-2.68
Cu: 0.7320 0.8278 0.5825  2 Si 2.40-2.48, 6 Cu 2.48-2.68
Cu: 0.4402 0.4175 0.8278  2 Si 2.40-2.48, 6 Cu 2.48-2.68
Cu: 0.0180 0.9175 0.6722  2 Si 2.40-2.48, 6 Cu 2.48-2.68
Cu: 0.1423 0.4175 0.1722  2 Si 2.40-2.48, 6 Cu 2.48-2.68
Cu: 0.3098 0.0825 0.6722  2 Si 2.40-2.48, 6 Cu 2.48-2.68
Cu: 0.0645 0.3278 0.9175  2 Si 2.40-2.48, 6 Cu 2.48-2.68
Cu: 0.4402 0.8278 0.4175  2 Si 2.40-2.48, 6 Cu 2.48-2.68
Cu: 0.0000 0.0000 0.0000  4 Si 2.66, 8 Cu 2.70
Cu: 0.7320 0.5825 0.8278  2 Si 2.40-2.48, 6 Cu 2.48-2.68
Cu: 0.1423 0.1722 0.4175  2 Si 2.40-2.48, 6 Cu 2.48-2.68
Cu: 0.6855 0.5825 0.1722  2 Si 2.40-2.48, 6 Cu 2.48-2.68
Cu: 0.3098 0.6722 0.0825  2 Si 2.40-2.48, 6 Cu 2.48-2.68
Cu: 0.6077 0.3278 0.0825  2 Si 2.40-2.48, 6 Cu 2.48-2.68
Cu: 0.6077 0.0825 0.3278  2 Si 2.40-2.48, 6 Cu 2.48-2.68
Cu: 0.7500 0.5000 0.5000  4 Si 2.66, 8 Cu 2.70
Ca: 0.2500 0.5000 0.5000  18 Cu 3.15-3.26, 4 Si 3.49
Ca: 0.5000 0.0000 0.0000  18 Cu 3.15-3.26, 4 Si 3.49
Si: 0.8750 0.2500 0.7500  10 Cu 2.40-2.66
Si: 0.8750 0.7500 0.2500  10 Cu 2.40-2.66
Si: 0.8750 0.2500 0.2500  10 Cu 2.40-2.66
Si: 0.3750 0.7500 0.7500  10 Cu 2.40-2.66

Computed properties:
* ΔE_f (raw): -0.16 eV/atom
* E_tot: -4.298 eV/atom
* symmetry: I4_1/amd, No. 141